Entry 1:
VASP calculation (PBE-GGA) on RbCd2InO after structural relaxation. Values from VASP.

Quantum ESPRESSO input file:
```
&SYSTEM
  ibrav = 0, nat = 5, ntyp = 4
/
ATOMIC_SPECIES
In 114.82 In.upf
Rb 85.47 Rb.upf
O 16.00 O.upf
Cd 112.41 Cd.upf
ATOMIC_POSITIONS angstrom
In 0.000 0.000 0.000
Rb 0.000 3.882 0.000
O 2.675 3.882 2.675
Cd 0.000 0.000 2.675
Cd 2.675 0.000 0.000
CELL_PARAMETERS angstrom
5.350 0.000 0.000
0.000 7.764 0.000
0.000 0.000 5.350
```

Output
- Space group: P4/mmm, No. 123
- E_form (uncorrected): 0.37 eV per atom
- Theoretical density: 3.30 g cm⁻³

=====

Entry 2:
VASP calculation (PBE-GGA) on DyHoZnAu after structural relaxation. Values from VASP.

Quantum ESPRESSO input file:
```
&SYSTEM
  ibrav = 0, nat = 4, ntyp = 4
/
ATOMIC_SPECIES
Zn 65.41 Zn.upf
Ho 164.93 Ho.upf
Dy 162.50 Dy.upf
Au 196.97 Au.upf
ATOMIC_POSITIONS angstrom
Zn 0.000 0.000 0.000
Ho -6.719 6.402 0.582
Dy -2.240 2.134 0.194
Au -4.480 4.268 0.388
CELL_PARAMETERS angstrom
-0.968 4.936 0.562
-3.928 2.099 -2.406
-4.064 1.500 2.619
```

Output
- Space group: F-43m, No. 216
- Electronic total energy: -16.1 eV for the cell shown
- Theoretical density: 10.68 g cm⁻³

=====

Entry 3:
VASP calculation (PBE-GGA) on SrPuTlAg after structural relaxation. Values from VASP.

Quantum ESPRESSO input file:
```
&SYSTEM
  ibrav = 0, nat = 4, ntyp = 4
/
ATOMIC_SPECIES
Ag 107.87 Ag.upf
Tl 204.38 Tl.upf
Pu 244.00 Pu.upf
Sr 87.62 Sr.upf
ATOMIC_POSITIONS angstrom
Ag 2.750 1.588 1.123
Tl 8.249 4.763 3.368
Pu 0.000 0.000 0.000
Sr 5.499 3.175 2.245
CELL_PARAMETERS angstrom
5.499 0.000 0.000
2.750 4.763 0.000
2.750 1.588 4.490
```

Output
- Space group: F-43m, No. 216
- Electronic total energy: -21.4 eV for the cell shown
- Theoretical density: 9.09 g cm⁻³

=====

Entry 4:
VASP calculation (PBE-GGA) on VAsBr2 after structural relaxation. Values from VASP.

Quantum ESPRESSO input file:
```
&SYSTEM
  ibrav = 0, nat = 4, ntyp = 3
/
ATOMIC_SPECIES
Br 79.90 Br.upf
As 74.92 As.upf
V 50.94 V.upf
ATOMIC_POSITIONS angstrom
Br 0.362 0.258 3.749
Br 2.785 1.984 28.845
As 0.000 0.000 0.000
V 1.573 1.121 16.297
CELL_PARAMETERS angstrom
1.039 2.636 10.736
-0.577 -0.195 11.086
2.686 -0.199 10.772
```

Output
- Space group: R-3m, No. 166
- ΔE to the lowest computed polymorph: 0 meV per atom
- E_form (uncorrected): 0.02 eV per atom
- Theoretical density: 4.66 g cm⁻³

=====

Entry 5:
VASP calculation (PBE-GGA) on Y2Al5Cu12 after structural relaxation. Values from VASP.

Quantum ESPRESSO input file:
```
&SYSTEM
  ibrav = 0, nat = 19, ntyp = 3
/
ATOMIC_SPECIES
Y 88.91 Y.upf
Cu 63.55 Cu.upf
Al 26.98 Al.upf
ATOMIC_POSITIONS angstrom
Y 0.417 -1.949 3.967
Y 0.785 -3.669 7.469
Cu 2.523 -4.279 5.009
Cu -1.321 -1.339 6.427
Cu 1.690 -4.324 2.472
Cu 2.162 0.459 4.772
Cu -0.349 0.773 5.191
Cu -1.796 -3.888 3.053
Cu 0.128 -4.963 4.495
Cu -2.650 -1.754 4.191
Cu 1.074 -0.656 6.941
Cu 3.347 -2.504 3.192
Cu -1.740 -3.746 5.719
Cu 2.942 -1.873 5.717
Al 0.654 1.297 2.955
Al 2.100 -2.319 1.027
Al 0.118 -0.552 1.124
Al 1.084 -5.066 10.312
Al -2.154 -1.787 1.736
CELL_PARAMETERS angstrom
-4.307 -3.574 3.471
4.201 -4.638 2.054
1.309 2.593 5.911
```

Output
- Space group: R-3m, No. 166
- Electronic total energy: -85.9 eV for the cell shown
- Theoretical density: 6.40 g cm⁻³

=====

Entry 6:
VASP calculation (PBE-GGA) on AcTb4Y2 after structural relaxation. Values from VASP.

Quantum ESPRESSO input file:
```
&SYSTEM
  ibrav = 0, nat = 14, ntyp = 3
/
ATOMIC_SPECIES
Tb 158.93 Tb.upf
Y 88.91 Y.upf
Ac 227.00 Ac.upf
ATOMIC_POSITIONS angstrom
Tb -3.232 -6.211 2.866
Tb -6.696 -2.896 -1.281
Tb -3.570 -3.503 0.507
Tb -4.064 2.769 -0.726
Tb -4.435 5.484 -3.062
Tb -6.347 -5.767 1.105
Tb -4.939 -2.900 -4.441
Tb -3.296 -2.931 4.033
Y -4.580 -5.737 -1.975
Y -7.073 -0.181 -3.630
Y -3.934 -0.666 -1.956
Y -4.278 -8.545 0.285
Ac -3.728 -0.046 1.624
Ac -0.694 -1.188 -0.056
CELL_PARAMETERS angstrom
-4.090 -5.159 -5.512
-2.101 -7.911 5.322
-2.621 8.998 -0.411
```

Output
- Space group: P1, No. 1
- ΔE to the lowest computed polymorph: 0 meV per atom
- Theoretical density: 7.24 g cm⁻³